YIn2Ni at its PBEsol-relaxed geometry, computed with meta-GGA SCAN.

- V (A^3/atom) = 20.02
- symmetry = No. 63
- calculated formation energy (meV/atom) = -570

Cell: 4.2797 5.5870 7.2513 Å, 90.00 90.00 112.52°
Fractional coordinates of all 8 atoms:
Y: 0.9317 0.8634 0.7500
Y: 0.0683 0.1366 0.2500
In: 0.6432 0.2865 0.5495
In: 0.3568 0.7135 0.0495
In: 0.3568 0.7135 0.4505
In: 0.6432 0.2865 0.9505
Ni: 0.2125 0.4250 0.7500
Ni: 0.7875 0.5750 0.2500